1.
The following is a PBE calculation of a relaxed AlNiIr3 crystal, from Alexandria via LeMat-Bulk.

Properties
Polymorph energy (0 for the lowest one), eV/atom: 0.000
Space-group type: Pm-3m (221)

Unit cell a=4.447 b=4.447 c=4.447 alpha=90.00 beta=90.00 gamma=90.00
Site moments in Bohr magnetons follow the coordinates.
Sites, in units of the cell vectors:
Ni 0.000 0.000 0.000  0.79
Ir 0.000 0.000 0.500  0.97
Ir 0.500 0.000 0.000  0.30
Ir 0.000 0.500 0.000  0.50
Al 0.500 0.500 0.500  0.00

---

2.
The following is a PBE calculation of a relaxed NaCoPt3 crystal, from Alexandria via LeMat-Bulk.

Properties
Polymorph energy (0 for the lowest one), eV/atom: 1.149
Space-group type: Pm-3m (221)

Unit cell a=4.557 b=4.557 c=4.557 alpha=90.00 beta=90.00 gamma=90.00
Site moments in Bohr magnetons follow the coordinates.
Sites, in units of the cell vectors:
Na 0.000 0.000 0.000  -0.01
Pt 0.000 0.000 0.500  0.13
Pt 0.000 0.500 0.000  0.17
Pt 0.500 0.000 0.000  0.27
Co 0.500 0.500 0.500  2.29

---

3.
The following is a PBE calculation of a relaxed Ga8Pt2Rh crystal, from Alexandria via LeMat-Bulk.

Properties
Polymorph energy (0 for the lowest one), eV/atom: 0.025
Space-group type: P-1 (2)

Unit cell a=4.886 b=9.076 c=6.708 alpha=132.48 beta=84.16 gamma=111.29
Sites, in units of the cell vectors:
Ga 0.708 0.420 0.362
Ga 0.123 0.344 0.932
Ga 0.111 0.093 0.266
Ga 0.877 0.656 0.068
Ga 0.889 0.907 0.734
Ga 0.292 0.580 0.638
Ga 0.475 0.139 0.778
Ga 0.525 0.861 0.222
Pt 0.190 0.708 0.414
Pt 0.810 0.292 0.586
Rh 0.500 0.000 0.000

---

4.
The following is a PBE calculation of a relaxed Tm12Tl5In2 crystal, from Alexandria via LeMat-Bulk.

Properties
Space-group type: C2/m (12)
E, Ry/atom: -0.28083

Unit cell a=7.158 b=9.266 c=9.133 alpha=82.93 beta=90.00 gamma=112.72
Sites, in units of the cell vectors:
Tl 0.695 0.390 0.770
Tl 0.228 0.457 0.747
Tl 0.772 0.543 0.253
Tl 0.000 0.000 0.500
Tl 0.305 0.610 0.230
Tm 0.401 0.321 0.091
Tm 0.080 0.679 0.909
Tm 0.894 0.299 0.494
Tm 0.508 0.017 0.313
Tm 0.492 0.983 0.687
Tm 0.957 0.913 0.199
Tm 0.043 0.087 0.801
Tm 0.405 0.299 0.494
Tm 0.920 0.321 0.091
Tm 0.599 0.679 0.909
Tm 0.106 0.701 0.506
Tm 0.595 0.701 0.506
In 0.313 0.000 0.000
In 0.687 0.000 0.000

---

5.
The following is a PBE calculation of a relaxed PmHo2ErTm crystal, from Alexandria via LeMat-Bulk.

Properties
Space-group type: Cmcm (63)
E, Ry/atom: -0.30886

Unit cell a=7.175 b=8.330 c=7.053 alpha=126.19 beta=90.00 gamma=90.00
Sites, in units of the cell vectors:
Pm 0.750 0.272 0.543
Pm 0.250 0.728 0.457
Ho 0.000 0.691 0.000
Ho 0.500 0.691 0.000
Ho 0.000 0.309 0.000
Ho 0.500 0.309 0.000
Tm 0.750 0.999 0.998
Tm 0.250 0.001 0.002
Er 0.750 0.722 0.444
Er 0.250 0.278 0.556

---

6.
The following is a PBE calculation of a relaxed Ba3Te2S crystal, from Alexandria via LeMat-Bulk.

Properties
Space-group type: Immm (71)
Formation energy from raw total energies, meV/atom: -1851

Unit cell a=4.824 b=6.927 c=8.454 alpha=114.18 beta=106.58 gamma=90.00
Sites, in units of the cell vectors:
Te 0.330 0.830 0.659
Te 0.670 0.170 0.341
Ba 0.652 0.652 0.303
Ba 0.348 0.348 0.697
Ba 0.000 0.000 0.000
S 0.000 0.500 0.000

---

7.
The following is a PBE calculation of a relaxed NdDy2YS6 crystal, from Alexandria via LeMat-Bulk.

Properties
Space-group type: R3 (146)
Formation energy from raw total energies, meV/atom: -2048

Unit cell a=6.988 b=6.988 c=7.397 alpha=61.80 beta=61.81 gamma=60.00
Sites, in units of the cell vectors:
S 0.616 0.223 0.247
S 0.399 0.720 0.749
S 0.720 0.131 0.749
S 0.914 0.616 0.247
S 0.223 0.914 0.247
S 0.131 0.399 0.749
Nd 0.810 0.810 0.569
Y 0.316 0.315 0.053
Dy 0.015 0.015 0.956
Dy 0.518 0.518 0.447

---

8.
The following is a PBE calculation of a relaxed Ba3SnPt2 crystal, from Alexandria via LeMat-Bulk.

Properties
Space-group type: P2_1/c (14)
E, Ry/atom: -0.31880

Unit cell a=8.669 b=9.389 c=10.638 alpha=90.00 beta=105.27 gamma=90.00
Sites, in units of the cell vectors:
Pt 0.750 0.001 0.247
Pt 0.750 0.501 0.253
Pt 0.250 0.499 0.747
Pt 0.310 0.751 0.316
Pt 0.250 0.999 0.753
Pt 0.190 0.251 0.184
Pt 0.690 0.249 0.684
Pt 0.810 0.749 0.816
Sn 0.137 0.747 0.831
Sn 0.363 0.247 0.669
Sn 0.863 0.253 0.169
Sn 0.637 0.753 0.331
Ba 0.353 0.532 0.101
Ba 0.078 0.253 0.866
Ba 0.151 0.468 0.403
Ba 0.853 0.968 0.601
Ba 0.349 0.968 0.097
Ba 0.147 0.032 0.399
Ba 0.422 0.753 0.634
Ba 0.578 0.247 0.366
Ba 0.647 0.468 0.899
Ba 0.651 0.032 0.903
Ba 0.849 0.532 0.597
Ba 0.922 0.747 0.134

---

9.
The following is a PBE calculation of a relaxed CoIr2Cl crystal, from Alexandria via LeMat-Bulk.

Properties
Polymorph energy (0 for the lowest one), eV/atom: 0.617
Space-group type: Fm-3m (225)
Formation energy from raw total energies, meV/atom: 1030

Unit cell a=4.320 b=4.320 c=4.320 alpha=60.00 beta=60.00 gamma=60.00
Site moments in Bohr magnetons follow the coordinates.
Sites, in units of the cell vectors:
Cl 0.000 0.000 0.000  0.00
Ir 0.250 0.250 0.250  0.81
Ir 0.750 0.750 0.750  0.81
Co 0.500 0.500 0.500  1.75

---

10.
The following is a PBE calculation of a relaxed ReAgO4 crystal, from Alexandria via LeMat-Bulk.

Properties
Space-group type: Pmn2_1 (31)
Formation energy from raw total energies, meV/atom: -1243

Unit cell a=5.387 b=5.308 c=7.241 alpha=90.00 beta=90.00 gamma=90.00
Sites, in units of the cell vectors:
O 0.812 0.637 0.801
O 0.188 0.137 0.699
O 0.188 0.137 0.301
O 0.650 0.122 0.500
O 0.325 0.692 0.500
O 0.675 0.192 0.000
O 0.350 0.622 0.000
O 0.812 0.637 0.199
Ag 0.880 0.518 0.500
Ag 0.120 0.018 0.000
Re 0.661 0.522 0.000
Re 0.339 0.022 0.500

---

11.
The following is a PBE calculation of a relaxed VFe4Os crystal, from Alexandria via LeMat-Bulk.

Properties
Space-group type: F-43m (216)
E, Ry/atom: -0.66404

Unit cell a=4.651 b=4.651 c=4.651 alpha=60.00 beta=60.00 gamma=60.00
Site moments in Bohr magnetons follow the coordinates.
Sites, in units of the cell vectors:
V 0.250 0.250 0.250  -0.64
Fe 0.625 0.625 0.625  1.57
Fe 0.125 0.625 0.625  1.57
Fe 0.625 0.125 0.625  1.57
Fe 0.625 0.625 0.125  1.57
Os 0.000 0.000 0.000  0.14

---

12.
The following is a PBE calculation of a relaxed HfTaTi2N crystal, from Alexandria via LeMat-Bulk.

Properties
Polymorph energy (0 for the lowest one), eV/atom: 0.000
Space-group type: P4/mmm (123)
Formation energy from raw total energies, meV/atom: -695

Unit cell a=4.187 b=4.187 c=4.447 alpha=90.00 beta=90.00 gamma=90.00
Sites, in units of the cell vectors:
Ti 0.500 0.000 0.000
Ti 0.000 0.500 0.000
Hf 0.000 0.000 0.500
Ta 0.500 0.500 0.500
N 0.000 0.000 0.000

---

13.
The following is a PBE calculation of a relaxed Rb2SrAg crystal, from Alexandria via LeMat-Bulk.

Properties
Polymorph energy (0 for the lowest one), eV/atom: 0.043
Space-group type: R-3m (166)

Unit cell a=4.512 b=4.512 c=13.820 alpha=80.61 beta=80.61 gamma=60.00
Sites, in units of the cell vectors:
Rb 0.108 0.108 0.676
Rb 0.892 0.892 0.324
Sr 0.000 0.000 0.000
Ag 0.500 0.500 0.500

---

14.
The following is a PBE calculation of a relaxed LiNi2Rh crystal, from Alexandria via LeMat-Bulk.

Properties
Space-group type: R-3m (166)
E, Ry/atom: -0.37693

Unit cell a=8.641 b=8.641 c=8.641 alpha=17.36 beta=17.36 gamma=17.36
Site moments in Bohr magnetons follow the coordinates.
Sites, in units of the cell vectors:
Ni 0.000 0.000 0.000  0.47
Ni 0.500 0.500 0.500  0.47
Rh 0.250 0.250 0.250  0.47
Li 0.750 0.750 0.750  -0.02

---

15.
The following is a PBE calculation of a relaxed La2MgO4 crystal, from Alexandria via LeMat-Bulk.

Properties
Polymorph energy (0 for the lowest one), eV/atom: 0.016
Space-group type: I4/mmm (139)
Formation energy from raw total energies, meV/atom: -3158

Unit cell a=6.855 b=6.855 c=6.855 alpha=146.69 beta=146.69 gamma=47.82
Sites, in units of the cell vectors:
Mg 0.000 0.000 0.000
O 0.000 0.500 0.500
O 0.500 0.000 0.500
O 0.821 0.821 0.000
O 0.179 0.179 0.000
La 0.637 0.637 0.000
La 0.363 0.363 0.000

---

16.
The following is a PBE calculation of a relaxed Sc2TiTlCo crystal, from Alexandria via LeMat-Bulk.

Properties
Space-group type: P4/mmm (123)
E, Ry/atom: -0.44446

Unit cell a=4.914 b=4.914 c=4.424 alpha=90.00 beta=90.00 gamma=90.00
Site moments in Bohr magnetons follow the coordinates.
Sites, in units of the cell vectors:
Tl 0.500 0.500 0.500  0.00
Co 0.000 0.000 0.000  -0.02
Sc 0.500 0.000 0.000  0.03
Sc 0.000 0.500 0.000  0.03
Ti 0.000 0.000 0.500  0.23

---

17.
The following is a PBE calculation of a relaxed Cd3As2 crystal, from Alexandria via LeMat-Bulk.

Properties
Space-group type: I4_1/acd (142)
E, Ry/atom: -0.18447

Unit cell a=15.847 b=15.847 c=15.847 alpha=132.13 beta=132.13 gamma=70.02
Sites, in units of the cell vectors:
As 0.385 0.375 0.510
As 0.252 0.990 0.246
As 0.625 0.635 0.510
As 0.740 0.994 0.238
As 0.625 0.135 0.010
As 0.494 0.756 0.246
As 0.376 0.376 0.000
As 0.744 0.006 0.754
As 0.756 0.502 0.762
As 0.125 0.115 0.490
As 0.998 0.744 0.238
As 0.994 0.748 0.738
As 0.124 0.124 0.000
As 0.244 0.490 0.738
As 0.865 0.875 0.490
As 0.006 0.244 0.746
As 0.498 0.260 0.254
As 0.885 0.375 0.010
As 0.624 0.624 0.000
As 0.510 0.248 0.754
As 0.365 0.875 0.990
As 0.876 0.876 0.000
As 0.126 0.626 0.500
As 0.010 0.256 0.262
As 0.874 0.374 0.500
As 0.374 0.874 0.500
As 0.125 0.615 0.990
As 0.626 0.126 0.500
As 0.240 0.002 0.746
As 0.506 0.760 0.762
As 0.752 0.506 0.262
As 0.256 0.494 0.254
Cd 0.183 0.204 0.742
Cd 0.414 0.695 0.504
Cd 0.833 0.806 0.264
Cd 0.691 0.212 0.758
Cd 0.914 0.410 0.719
Cd 0.445 0.441 0.781
Cd 0.590 0.309 0.504
Cd 0.559 0.817 0.021
Cd 0.660 0.664 0.219
Cd 0.059 0.038 0.742
Cd 0.556 0.792 0.474
Cd 0.305 0.809 0.719
Cd 0.056 0.583 0.764
Cd 0.059 0.055 0.219
Cd 0.160 0.941 0.996
Cd 0.683 0.941 0.979
Cd 0.333 0.069 0.026
Cd 0.567 0.046 0.758
Cd 0.454 0.933 0.242
Cd 0.090 0.586 0.281
Cd 0.805 0.086 0.496
Cd 0.931 0.958 0.264
Cd 0.319 0.083 0.526
Cd 0.191 0.433 0.479
Cd 0.208 0.681 0.764
Cd 0.788 0.546 0.479
Cd 0.836 0.840 0.781
Cd 0.708 0.944 0.526
Cd 0.191 0.910 0.496
Cd 0.042 0.306 0.974
Cd 0.417 0.181 0.474
Cd 0.945 0.164 0.004
Cd 0.694 0.667 0.736
Cd 0.691 0.195 0.281
Cd 0.954 0.712 0.521
Cd 0.559 0.340 0.004
Cd 0.962 0.704 0.021
Cd 0.917 0.444 0.236
Cd 0.462 0.441 0.258
Cd 0.431 0.167 0.974
Cd 0.288 0.809 0.242
Cd 0.542 0.569 0.736
Cd 0.194 0.458 0.026
Cd 0.296 0.317 0.258
Cd 0.067 0.309 0.521
Cd 0.796 0.538 0.979
Cd 0.336 0.555 0.996
Cd 0.819 0.292 0.236

---

18.
The following is a PBE calculation of a relaxed Sc2TiC2 crystal, from Alexandria via LeMat-Bulk.

Properties
Space-group type: P4/mbm (127)
E, Ry/atom: -0.59635

Unit cell a=6.185 b=6.185 c=3.306 alpha=90.00 beta=90.00 gamma=90.00
Sites, in units of the cell vectors:
Ti 0.000 0.000 0.000
Ti 0.500 0.500 0.000
Sc 0.151 0.651 0.500
Sc 0.849 0.349 0.500
Sc 0.349 0.151 0.500
Sc 0.651 0.849 0.500
C 0.830 0.670 0.000
C 0.670 0.170 0.000
C 0.330 0.830 0.000
C 0.170 0.330 0.000

---

19.
The following is a PBE calculation of a relaxed InTc2 crystal, from Alexandria via LeMat-Bulk.

Properties
Space-group type: Fd-3m (227)
E, Ry/atom: -0.54813

Unit cell a=5.263 b=5.263 c=5.263 alpha=60.00 beta=60.00 gamma=60.00
Sites, in units of the cell vectors:
Tc 0.625 0.125 0.625
Tc 0.625 0.625 0.625
Tc 0.125 0.625 0.625
Tc 0.625 0.625 0.125
In 0.000 0.000 0.000
In 0.250 0.250 0.250

---

20.
The following is a PBE calculation of a relaxed CsBiBr6 crystal, from Alexandria via LeMat-Bulk.

Properties
Space-group type: R-3m (166)
Formation energy from raw total energies, meV/atom: -680

Unit cell a=6.957 b=6.957 c=6.957 alpha=102.22 beta=102.22 gamma=102.22
Sites, in units of the cell vectors:
Cs 0.000 0.000 0.000
Bi 0.500 0.500 0.500
Br 0.202 0.202 0.560
Br 0.798 0.798 0.440
Br 0.560 0.202 0.202
Br 0.798 0.440 0.798
Br 0.440 0.798 0.798
Br 0.202 0.560 0.202